1.
Material: CsIn
Method: DFT, GGA-PBE
State: relaxed

Cell: 9.365 9.365 9.365 Å, 93.41 93.41 151.79°
Positions (direct):
Cs 0.158 0.841 0.999
Cs 0.159 0.158 0.316
Cs 0.841 0.842 0.684
Cs 0.842 0.159 0.001
In 0.126 0.501 0.627
In 0.499 0.126 0.625
In 0.501 0.874 0.375
In 0.874 0.499 0.373

Formation energy from the elements in meV/atom: -52.2
Crystal system: tetragonal
Energy above the lowest structure with this stoichiometry in meV per atom: 44

2.
Material: CsIn
Method: DFT, GGA-PBE
State: relaxed

Cell: 5.626 5.626 5.626 Å, 60.00 60.00 60.00°
Positions (direct):
Cs 0.000 0.000 0.000
In 0.500 0.500 0.500

Formation energy from the elements in meV/atom: 371.5
Crystal system: cubic
Energy above the lowest structure with this stoichiometry in meV per atom: 468

3.
Material: CsIn
Method: DFT, GGA-PBE
State: relaxed

Cell: 9.931 9.931 9.931 Å, 109.47 109.47 109.47°
Positions (direct):
Cs 0.000 0.000 0.416
Cs 0.000 0.416 0.000
Cs 0.416 0.000 0.000
Cs 0.584 0.584 0.584
In 0.000 0.000 0.806
In 0.000 0.806 0.000
In 0.194 0.194 0.194
In 0.806 0.000 0.000

Formation energy from the elements in meV/atom: 135.2
Crystal system: cubic
Energy above the lowest structure with this stoichiometry in meV per atom: 232

4.
Material: CsIn4Ir
Method: DFT, GGA-PBE
State: relaxed

Cell: 5.224 5.224 8.250 Å, 90.00 90.00 90.00°
Positions (direct):
Cs 0.000 0.000 0.000
In 0.000 0.500 0.500
In 0.500 0.000 0.500
In 0.500 0.500 0.181
In 0.500 0.500 0.819
Ir 0.500 0.500 0.500

Formation energy from the elements in meV/atom: -32.9
Crystal system: tetragonal

5.
Material: Cs2In6Ir
Method: DFT, GGA-PBE
State: relaxed

Cell: 7.319 7.319 5.993 Å, 92.71 92.71 67.53°
Positions (direct):
Cs 0.126 0.126 0.207
Cs 0.874 0.874 0.793
In 0.211 0.599 0.305
In 0.316 0.316 0.728
In 0.401 0.789 0.695
In 0.599 0.211 0.305
In 0.684 0.684 0.272
In 0.789 0.401 0.695
Ir 0.500 0.500 0.000

Formation energy from the elements in meV/atom: -22.6
Crystal system: monoclinic

6.
Material: CsIn2Ir
Method: DFT, GGA-PBE
State: relaxed

Cell: 5.325 5.325 5.325 Å, 60.00 60.00 60.00°
Positions (direct):
Cs 0.000 0.000 0.000
In 0.250 0.250 0.250
In 0.750 0.750 0.750
Ir 0.500 0.500 0.500

Formation energy from the elements in meV/atom: 684.2
Crystal system: cubic
Energy above the lowest structure with this stoichiometry in meV per atom: 615

Which value of formation energy from the elements does entry 1 give? -52.2 meV/atom

Number 1 is which compound? CsIn

Number 3 is which compound? CsIn